Compound: SnSe2O6
Source: Alexandria
Functional: SCAN
Structure: single point on PBEsol structure

Unit cell a=8.2429 b=8.2429 c=8.2429 alpha=90.00 beta=90.00 gamma=90.00
Positions (direct):
O 0.0323 0.7458 0.4685
O 0.9677 0.2458 0.0315
O 0.7458 0.0315 0.5323
O 0.5323 0.7458 0.0315
O 0.9677 0.2542 0.5315
O 0.5315 0.9677 0.2542
O 0.4685 0.0323 0.7458
O 0.2542 0.9685 0.4677
O 0.4677 0.2542 0.9685
O 0.0315 0.5323 0.7458
O 0.9685 0.0323 0.7542
O 0.4677 0.2458 0.4685
O 0.7458 0.4685 0.0323
O 0.0323 0.7542 0.9685
O 0.2458 0.4685 0.4677
O 0.9685 0.4677 0.2542
O 0.2542 0.5315 0.9677
O 0.4685 0.4677 0.2458
O 0.7542 0.5315 0.5323
O 0.5323 0.7542 0.5315
O 0.5315 0.5323 0.7542
O 0.7542 0.9685 0.0323
O 0.2458 0.0315 0.9677
O 0.0315 0.9677 0.2458
Sn 0.0000 0.0000 0.0000
Sn 0.0000 0.5000 0.5000
Sn 0.5000 0.0000 0.5000
Sn 0.5000 0.5000 0.0000
Se 0.1663 0.8337 0.3337
Se 0.3337 0.1663 0.8337
Se 0.8337 0.1663 0.6663
Se 0.1663 0.6663 0.8337
Se 0.6663 0.6663 0.6663
Se 0.8337 0.3337 0.1663
Se 0.3337 0.3337 0.3337
Se 0.6663 0.8337 0.1663

Values from the calculation:
* space-group type: Pa-3, No. 205
* raw total energy: -13.76 eV per atom
* density of states at the Fermi level: 0.00 states/eV per atom